Entry 1:
VASP calculation (PBE-GGA) on HoSc5Tl4 after structural relaxation.

Cell lengths 3.440, 3.440, 20.564 Å; angles 90.00, 90.00, 90.00 degrees
Space group P4/mmm (No. 123)
One atom of each set of equivalent atoms:
Ho: 0.000 0.000 0.000 [1 per cell]
Sc: 0.500 0.500 0.114 [2 per cell]
Sc: 0.500 0.500 0.305 [2 per cell]
Sc: 0.500 0.500 0.500 [1 per cell]
Tl: 0.000 0.000 0.209 [2 per cell]
Tl: 0.000 0.000 0.403 [2 per cell]

Its crystal system is tetragonal. Its calculated formation energy is -0.21 eV/atom. The distance to the lowest polymorph of the same formula comes out at 0.0000 eV/atom.



Entry 2:
VASP calculation (PBE-GGA) on K2RbInBr6 after structural relaxation.

Cell lengths 11.824, 11.824, 11.824 Å; angles 90.00, 90.00, 90.00 degrees
Space group Fm-3m (No. 225)
One atom of each set of equivalent atoms:
K: 0.250 0.250 0.250 [8 per cell]
Rb: 0.000 0.000 0.000 [4 per cell]
In: 0.000 0.000 0.500 [4 per cell]
Br: 0.000 0.000 0.272 [24 per cell]

As for the uncorrected formation energy: -1302 meV/atom. Its crystal system is cubic.



Entry 3:
VASP calculation (PBE-GGA) on Tl2CdTe2 after structural relaxation.

Cell lengths 10.378, 8.297, 8.515 Å; angles 90.00, 94.49, 90.00 degrees
Space group P2_1/c (No. 14)
One atom of each set of equivalent atoms:
Tl: 0.064 0.234 0.017 [4 per cell]
Tl: 0.334 0.685 0.966 [4 per cell]
Cd: 0.378 0.095 0.833 [4 per cell]
Te: 0.141 0.571 0.245 [4 per cell]
Te: 0.385 0.096 0.181 [4 per cell]

As for the uncorrected formation energy: -339 meV/atom. Its crystal system is monoclinic. The distance to the lowest polymorph of the same formula comes out at 0.0000 eV/atom.



Entry 4:
VASP calculation (PBE-GGA) on Ba2InOs after structural relaxation.

Cell lengths 5.128, 5.128, 8.754 Å; angles 90.00, 90.00, 90.00 degrees
Space group I-4m2 (No. 119)
One atom of each set of equivalent atoms:
Ba: 0.000 0.000 0.000 [2 per cell]
Ba: 0.000 0.500 0.250 [2 per cell]
In: 0.000 0.500 0.750 [2 per cell]
Os: 0.000 0.000 0.500 [2 per cell]

Its crystal system is tetragonal. Its calculated formation energy is 0.61 eV/atom.



Entry 5:
VASP calculation (PBE-GGA) on Er2Al4Cu3Pd after structural relaxation.

Cell lengths 4.116, 4.116, 10.316 Å; angles 90.00, 90.00, 90.00 degrees
Space group P-4m2 (No. 115)
One atom of each set of equivalent atoms:
Er: 0.000 0.500 0.247 [2 per cell]
Al: 0.000 0.000 0.000 [1 per cell]
Al: 0.000 0.500 0.633 [2 per cell]
Al: 0.500 0.500 0.000 [1 per cell]
Cu: 0.000 0.500 0.865 [2 per cell]
Cu: 0.500 0.500 0.500 [1 per cell]
Pd: 0.000 0.000 0.500 [1 per cell]

Its crystal system is tetragonal. Its calculated formation energy is -0.51 eV/atom.



Entry 6:
VASP calculation (PBE-GGA) on Cs2AgF after structural relaxation.

Cell lengths 3.934, 3.934, 8.749 Å; angles 90.00, 90.00, 90.00 degrees
Space group P4/mmm (No. 123)
One atom of each set of equivalent atoms:
Cs: 0.000 0.000 0.209 [2 per cell]
Ag: 0.500 0.500 0.500 [1 per cell]
F: 0.500 0.500 0.000 [1 per cell]

As for the uncorrected formation energy: -1176 meV/atom. Its crystal system is tetragonal. The distance to the lowest polymorph of the same formula comes out at 0.0699 eV/atom.



Entry 7:
VASP calculation (PBE-GGA) on RbHgBCl2 after structural relaxation.

Cell lengths 6.006, 6.006, 4.257 Å; angles 90.00, 90.00, 90.00 degrees
Space group P4/mmm (No. 123)
One atom of each set of equivalent atoms:
Rb: 0.000 0.000 0.000 [1 per cell]
Hg: 0.500 0.500 0.500 [1 per cell]
B: 0.500 0.500 0.000 [1 per cell]
Cl: 0.000 0.500 0.500 [2 per cell]

As for the uncorrected formation energy: -217 meV/atom. Its crystal system is tetragonal.



Entry 8:
VASP calculation (PBE-GGA) on PmAgPbI6 after structural relaxation.

Cell lengths 7.7813, 7.7813, 14.4450 Å; angles 90.00, 90.00, 120.00 degrees
Space group P-31c (No. 163)
One atom of each set of equivalent atoms:
Pm: 0.3333 0.6667 0.2500 [2 per cell]
Ag: 0.3333 0.6667 0.7500 [2 per cell]
Pb: 0.0000 0.0000 0.0000 [2 per cell]
I: 0.0048 0.3503 0.6274 [12 per cell]

As for the uncorrected formation energy: -844 meV/atom. Its crystal system is trigonal.



Entry 9:
VASP calculation (PBE-GGA) on La2Pm6Sc after structural relaxation.

Cell lengths 3.461, 10.329, 17.356 Å; angles 90.00, 90.00, 90.00 degrees
Space group Immm (No. 71)
One atom of each set of equivalent atoms:
La: 0.000 0.000 0.164 [4 per cell]
Pm: 0.000 0.183 0.335 [8 per cell]
Pm: 0.000 0.205 0.000 [4 per cell]
Sc: 0.000 0.000 0.500 [2 per cell]

Its crystal system is orthorhombic. Its calculated formation energy is 0.18 eV/atom. The distance to the lowest polymorph of the same formula comes out at 0.1080 eV/atom.



Entry 10:
VASP calculation (PBE-GGA) on PaZnSnGe after structural relaxation.

Cell lengths 4.234, 4.272, 4.710 Å; angles 90.00, 90.00, 90.00 degrees
Space group Pmmm (No. 47)
One atom of each set of equivalent atoms:
Pa: 0.000 0.000 0.000 [1 per cell]
Zn: 0.500 0.000 0.500 [1 per cell]
Sn: 0.000 0.500 0.500 [1 per cell]
Ge: 0.500 0.500 0.000 [1 per cell]

Its crystal system is orthorhombic. Its calculated formation energy is -0.32 eV/atom.



Entry 11:
VASP calculation (PBE-GGA) on MgRe3Te after structural relaxation.

Cell lengths 4.848, 4.848, 4.848 Å; angles 90.00, 90.00, 90.00 degrees
Space group Pm-3m (No. 221)
One atom of each set of equivalent atoms:
Mg: 0.000 0.000 0.000 [1 per cell]
Re: 0.000 0.500 0.500 [3 per cell]
Te: 0.500 0.500 0.500 [1 per cell]

As for the uncorrected formation energy: 2215 meV/atom. Its crystal system is cubic. The distance to the lowest polymorph of the same formula comes out at 0.0000 eV/atom.



Entry 12:
VASP calculation (PBE-GGA) on Sr2Li after structural relaxation.

Cell lengths 4.249, 4.249, 14.537 Å; angles 90.00, 90.00, 90.00 degrees
Space group I4/mmm (No. 139)
One atom of each set of equivalent atoms:
Sr: 0.000 0.000 0.145 [4 per cell]
Li: 0.000 0.000 0.500 [2 per cell]

Its crystal system is tetragonal. Its calculated formation energy is 0.02 eV/atom. The distance to the lowest polymorph of the same formula comes out at 0.0035 eV/atom.